# Na2FeNiF7

A relaxed structure of Na2FeNiF7 (PBE with a Hubbard U, Alexandria via LeMat-Bulk).

Structure (POSCAR):
```
Na2FeNiF7
1.0
-3.646 5.210 3.776
3.646 -5.210 3.776
3.646 5.210 -3.776
Na Fe Ni F
4 2 2 14
Direct
0.246 0.000 0.246
0.259 0.009 0.749
0.259 0.510 0.251
0.754 0.000 0.754
0.251 0.501 0.750
0.752 0.501 0.250
0.751 0.002 0.250
0.751 0.501 0.750
0.072 0.238 0.435
0.072 0.637 0.834
0.073 0.732 0.341
0.113 0.272 0.841
0.391 0.732 0.659
0.430 0.272 0.159
0.430 0.365 0.666
0.430 0.764 0.066
0.648 0.148 0.500
0.698 0.365 0.934
0.698 0.764 0.334
0.803 0.238 0.166
0.803 0.637 0.565
0.853 0.853 0.000
```

Values from the calculation:
Electronic total energy, eV per atom: -4.71
Size of the total moment, μB per cell: 14.0
V, Å³/atom: 13.0